A plane-wave DFT calculation with PBE was carried out for crystalline Ta2ZnBAs at its relaxed geometry.

Output
**Symmetry**: No. 123

Cell lengths 4.801, 4.298, 4.801 Å; angles 90.00, 90.00, 90.00 degrees
Fractional coordinates of all 5 atoms:
1 Ta 0.000 0.000 0.500
2 As 0.000 0.500 0.000
3 B 0.500 0.500 0.500
4 Zn 0.000 0.000 0.000
5 Ta 0.500 0.000 0.000

***

A plane-wave DFT calculation with PBE was carried out for crystalline Tb2Dy3Mg3 at its relaxed geometry.

Output
**Symmetry**: No. 71

Cell lengths 3.762, 5.424, 11.651 Å; angles 103.46, 99.29, 90.00 degrees
Fractional coordinates of all 8 atoms:
1 Mg 0.884 0.884 0.767
2 Dy 0.375 0.375 0.751
3 Tb 0.265 0.765 0.530
4 Mg 0.116 0.116 0.233
5 Mg 0.000 0.500 0.000
6 Dy 0.500 0.000 0.000
7 Dy 0.625 0.625 0.249
8 Tb 0.735 0.235 0.470

***

Number 1: energy of formation from the pure elements 2115 meV per atom, total magnetization 0.00 μB/f.u.. Number 2: energy of formation from the pure elements -56 meV per atom, total magnetization 0.00 μB/f.u..